Computed, not measured: a PBEsol-optimized structure of SmSi3Ir at the SCAN level of DFT.

Computed properties:
* crystal system: tetragonal
* DFT total energy: -1.103 Ha/atom
* ΔE_f (raw): -4.49 eV/f.u.
* space-group type: I4mm (107)

Cell: 5.707 5.707 5.707 Å, 136.91 136.91 62.58°
Fractional coordinates of all 5 atoms:
Sm 0.000 0.000 0.000
Si 0.234 0.734 0.500
Si 0.584 0.584 0.000
Si 0.734 0.234 0.500
Ir 0.345 0.345 0.000